# FeAgHg2

A geometry-optimized FeAgHg2 structure (PBE-GGA, Alexandria via LeMat-Bulk).

Summary:
- Magnetization: 2.9 μB/f.u.
- ΔE to the lowest computed polymorph: 122 meV/atom
- Space-group type: I-4m2, No. 119
- Formation energy from the elements: 0.4206 eV/atom
- E: -20.47 eV for the cell shown

abc: 4.1471 4.1471 8.7574
angles: 90.00 90.00 90.00
Last column: nearest neighbours and their distance in Å.
Sites, in units of the cell vectors:
Fe1 0.0000 0.0000 0.0000  8 Hg 2.93-3.02, 4 Ag 3.02
Fe2 0.5000 0.5000 0.5000  8 Hg 2.93-3.02, 4 Ag 3.02
Ag1 0.0000 0.5000 0.2500  8 Hg 2.93-3.02, 4 Fe 3.02
Ag2 0.5000 0.0000 0.7500  8 Hg 2.93-3.02, 4 Fe 3.02
Hg1 0.0000 0.0000 0.5000  4 Fe 2.93, 4 Hg 3.02, 4 Ag 3.02
Hg2 0.0000 0.5000 0.7500  4 Ag 2.93, 4 Hg 3.02, 4 Fe 3.02
Hg3 0.5000 0.0000 0.2500  4 Ag 2.93, 4 Hg 3.02, 4 Fe 3.02
Hg4 0.5000 0.5000 0.0000  4 Fe 2.93, 4 Hg 3.02, 4 Ag 3.02